(1)
The following is a PBE calculation of a geometry-optimized Li2DyThHg4 structure, from the Alexandria database.

Properties
Formation energy: -35.2 kJ per mole of atoms
D(E_F): 4.157 states/eV/f.u.
Raw total energy: -2.497 eV per atom
Crystal system: trigonal
V: 187 Å³/cell

a b c (Å): 8.8773 8.8773 8.8773
angles (deg): 33.20 33.20 33.20
Last column: nearest neighbours and their distance in Å.
Fractional coordinates of all 8 atoms:
1 Li 0.2482 0.2482 0.2482  8 Hg 3.05-3.29
2 Li 0.7518 0.7518 0.7518  8 Hg 3.05-3.29
3 Dy 0.5000 0.5000 0.5000  8 Hg 3.04-3.09
4 Th 0.0000 0.0000 0.0000  8 Hg 3.15-3.20
5 Hg 0.1271 0.1271 0.1271  4 Li 3.05-3.11, 3 Dy 3.09, 1 Th 3.20
6 Hg 0.3792 0.3792 0.3792  1 Dy 3.04, 4 Li 3.09-3.29, 3 Th 3.15
7 Hg 0.6208 0.6208 0.6208  1 Dy 3.04, 4 Li 3.09-3.29, 3 Th 3.15
8 Hg 0.8729 0.8729 0.8729  4 Li 3.05-3.11, 3 Dy 3.09, 1 Th 3.20

***

(2)
The following is a PBE calculation of a geometry-optimized Li2DyTmHg4 structure, from the Alexandria database.

Properties
Formation energy: -41.5 kJ per mole of atoms
D(E_F): 5.795 states/eV/f.u.
Raw total energy: -2.194 eV per atom
Crystal system: trigonal
V: 177 Å³/cell

a b c (Å): 8.6597 8.6597 8.6597
angles (deg): 33.56 33.56 33.56
Last column: nearest neighbours and their distance in Å.
Fractional coordinates of all 8 atoms:
1 Li 0.2495 0.2495 0.2495  8 Hg 3.02-3.10
2 Li 0.7505 0.7505 0.7505  8 Hg 3.02-3.10
3 Dy 0.0000 0.0000 0.0000  8 Hg 3.07-3.09
4 Tm 0.5000 0.5000 0.5000  8 Hg 3.04-3.05
5 Hg 0.1260 0.1260 0.1260  4 Li 3.02-3.07, 3 Tm 3.05, 1 Dy 3.09
6 Hg 0.3759 0.3759 0.3759  1 Tm 3.04, 4 Li 3.06-3.10, 3 Dy 3.07
7 Hg 0.6241 0.6241 0.6241  1 Tm 3.04, 4 Li 3.06-3.10, 3 Dy 3.07
8 Hg 0.8740 0.8740 0.8740  4 Li 3.02-3.07, 3 Tm 3.05, 1 Dy 3.09

***

(3)
The following is a PBE calculation of a geometry-optimized LiDyTmHg structure, from the Alexandria database.

Properties
Formation energy: -20.5 kJ per mole of atoms
D(E_F): 4.638 states/eV/f.u.
Raw total energy: -3.035 eV per atom
Crystal system: cubic
V: 99 Å³/cell

a b c (Å): 5.1874 5.1874 5.1874
angles (deg): 60.00 60.00 60.00
Last column: nearest neighbours and their distance in Å.
Fractional coordinates of all 4 atoms:
1 Li 0.0000 0.0000 0.0000  4 Dy 3.18, 4 Tm 3.18
2 Dy 0.7500 0.7500 0.7500  4 Hg 3.18, 4 Li 3.18
3 Tm 0.2500 0.2500 0.2500  4 Hg 3.18, 4 Li 3.18
4 Hg 0.5000 0.5000 0.5000  4 Tm 3.18, 4 Dy 3.18

***

(4)
The following is a PBE calculation of a geometry-optimized Li2DyYHg4 structure, from the Alexandria database.

Properties
Formation energy: -42.9 kJ per mole of atoms
D(E_F): 5.855 states/eV/f.u.
Raw total energy: -2.457 eV per atom
Crystal system: trigonal
V: 180 Å³/cell

a b c (Å): 8.7109 8.7109 8.7109
angles (deg): 33.53 33.53 33.53
Last column: nearest neighbours and their distance in Å.
Fractional coordinates of all 8 atoms:
1 Li 0.2500 0.2500 0.2500  8 Hg 3.07-3.09
2 Li 0.7500 0.7500 0.7500  8 Hg 3.07-3.09
3 Dy 0.0000 0.0000 0.0000  8 Hg 3.07-3.08
4 Y 0.5000 0.5000 0.5000  8 Hg 3.08
5 Hg 0.1244 0.1244 0.1244  1 Dy 3.07, 4 Li 3.07-3.09, 3 Y 3.08
6 Hg 0.3748 0.3748 0.3748  3 Dy 3.08, 4 Li 3.08, 1 Y 3.08
7 Hg 0.6252 0.6252 0.6252  3 Dy 3.08, 4 Li 3.08, 1 Y 3.08
8 Hg 0.8756 0.8756 0.8756  1 Dy 3.07, 4 Li 3.07-3.09, 3 Y 3.08

***

(5)
The following is a PBE calculation of a geometry-optimized LiDyYHg structure, from the Alexandria database.

Properties
Formation energy: -21.9 kJ per mole of atoms
D(E_F): 4.846 states/eV/f.u.
Raw total energy: -3.548 eV per atom
Crystal system: cubic
V: 101 Å³/cell

a b c (Å): 5.2280 5.2280 5.2280
angles (deg): 60.00 60.00 60.00
Last column: nearest neighbours and their distance in Å.
Fractional coordinates of all 4 atoms:
1 Li 0.0000 0.0000 0.0000  4 Y 3.20, 4 Dy 3.20
2 Dy 0.2500 0.2500 0.2500  4 Hg 3.20, 4 Li 3.20
3 Y 0.7500 0.7500 0.7500  4 Hg 3.20, 4 Li 3.20
4 Hg 0.5000 0.5000 0.5000  4 Y 3.20, 4 Dy 3.20

***

(6)
The following is a PBE calculation of a geometry-optimized LiDy2YHg4 structure, from the Alexandria database.

Properties
Formation energy: -44.7 kJ per mole of atoms
D(E_F): 6.957 states/eV/f.u.
Raw total energy: -2.812 eV per atom
Crystal system: trigonal
V: 195 Å³/cell

a b c (Å): 9.0262 9.0262 9.0262
angles (deg): 33.12 33.12 33.12
Last column: nearest neighbours and their distance in Å.
Fractional coordinates of all 8 atoms:
1 Li 0.0000 0.0000 0.0000  8 Hg 3.13-3.15
2 Dy 0.2546 0.2546 0.2546  8 Hg 3.06-3.38
3 Dy 0.7454 0.7454 0.7454  8 Hg 3.06-3.38
4 Y 0.5000 0.5000 0.5000  8 Hg 3.18-3.21
5 Hg 0.1225 0.1225 0.1225  1 Li 3.13, 4 Dy 3.18-3.38, 3 Y 3.18
6 Hg 0.3743 0.3743 0.3743  4 Dy 3.06-3.12, 3 Li 3.15, 1 Y 3.21
7 Hg 0.6257 0.6257 0.6257  4 Dy 3.06-3.12, 3 Li 3.15, 1 Y 3.21
8 Hg 0.8775 0.8775 0.8775  1 Li 3.13, 4 Dy 3.18-3.38, 3 Y 3.18

***

Question: Which formula does entry 4 have?
Answer: Li2DyYHg4

***

Question: Among the records above, which one has the lowest raw total energy?
Answer: LiDyYHg

***

Question: What is the formula in the sixth record?
Answer: LiDy2YHg4

***

Question: What is the formation energy in the third record?
Answer: -20.5 kJ per mole of atoms